Compound: Sc2TlRuSe
Source: the Alexandria database
Functional: PBE-GGA
Structure: relaxed

```
data_Sc2TlRuSe
_cell_length_a 5.306
_cell_length_b 5.306
_cell_length_c 4.955
_cell_angle_alpha 90.00
_cell_angle_beta 90.00
_cell_angle_gamma 90.00
_space_group_name_H-M_alt 'P 4/m m m'
_space_group_IT_number 123
_space_group_name_Hall '-P 4 2'
loop_
_atom_site_label
_atom_site_fract_x
_atom_site_fract_y
_atom_site_fract_z
Sc1 0.000 0.500 0.000
Tl1 0.000 0.000 0.000
Ru1 0.000 0.000 0.500
Se1 0.500 0.500 0.500
```

Output
* raw formation energy: 0.863 eV per atom

Compound: Ho3Tm4Pt4
Source: the Alexandria database
Functional: PBE-GGA
Structure: relaxed

```
data_Ho3Tm4Pt4
_cell_length_a 3.781
_cell_length_b 8.690
_cell_length_c 16.158
_cell_angle_alpha 90.00
_cell_angle_beta 90.00
_cell_angle_gamma 90.00
_space_group_name_H-M_alt 'I m m m'
_space_group_IT_number 71
_space_group_name_Hall '-I 2 2'
loop_
_atom_site_label
_atom_site_fract_x
_atom_site_fract_y
_atom_site_fract_z
Ho1 0.000 0.000 0.000
Ho2 0.000 0.500 0.099
Tm1 0.000 0.312 0.334
Pt1 0.000 0.000 0.254
Pt2 0.000 0.209 0.500
```

no.,DOS(E_F) (states/eV per atom),E_tot (eV per atom),total magnetic moment (μB/f.u.)
1,1.381,-4.6951,0.00
2,0.771,-6.0303,0.00